Density functional theory data (PBE-GGA) for a geometry-optimized Nd2Zn3CdPt4 structure.

Lattice parameters (Å, degrees): 4.1197 4.1197 11.6419 90.00 90.00 90.00
With the nearest neighbours (Å) after each atom.
Fractional coordinates of all 10 atoms:
Nd 0.0000 0.5000 0.2387  8 Pt 3.16-3.46, 4 Zn 3.18
Nd 0.5000 0.0000 0.7613  8 Pt 3.16-3.46, 4 Zn 3.18
Zn 0.0000 0.5000 0.8712  5 Pt 2.50-2.55
Zn 0.5000 0.0000 0.1288  5 Pt 2.50-2.55
Zn 0.5000 0.5000 0.5000  4 Pt 2.75, 4 Cd 2.91
Cd 0.0000 0.0000 0.5000  4 Pt 2.75, 4 Zn 2.91
Pt 0.0000 0.0000 0.0000  4 Zn 2.55
Pt 0.0000 0.5000 0.6564  3 Zn 2.50-2.75, 2 Cd 2.75
Pt 0.5000 0.0000 0.3436  3 Zn 2.50-2.75, 2 Cd 2.75
Pt 0.5000 0.5000 0.0000  4 Zn 2.55

Values from the calculation:
Total energy (eV per atom): -4.572
M_tot (Bohr magnetons per cell): 0.0
Space-group type: P-4m2
E_form (meV/atom): -729
DOS at the Fermi energy (states/eV/f.u.): 4.51